Compound: YPuSe3
Source: Alexandria
Functional: PBE-GGA
Structure: relaxed

As for the formation energy (no corrections): -36.9 kcal/mol of atoms. The energy comes out at -0.57700 Ry per atom.

Cell and atoms, written as CIF:
```
data_YPuSe3
_chemical_formula_sum 'Y2 Pu2 Se6'
_space_group_name_H-M_alt 'P m m n'
_space_group_IT_number 59
_cell_length_a 4.067
_cell_length_b 7.056
_cell_length_c 9.055
_cell_angle_alpha 90.00
_cell_angle_beta 90.00
_cell_angle_gamma 90.00
loop_
_space_group_symop_operation_xyz
'x,y,z'
'-x,-y,-z'
'-x+1/2,-y+1/2,z'
'x+1/2,y+1/2,-z'
'x+1/2,-y,-z'
'-x+1/2,y,z'
'-x,y+1/2,-z'
'x,-y+1/2,z'
loop_
_atom_site_label
_atom_site_fract_x
_atom_site_fract_y
_atom_site_fract_z
Y1 0.250 0.250 0.102
Pu1 0.250 0.750 0.346
Se1 0.250 0.023 0.831
Se2 0.250 0.250 0.434
```

Compound: Y6PuSe8
Source: Alexandria
Functional: PBE-GGA
Structure: relaxed

As for the formation energy (no corrections): -41.4 kcal/mol of atoms. The energy comes out at -0.52869 Ry per atom.

Cell and atoms, written as CIF:
```
data_Y6PuSe8
_chemical_formula_sum 'Y24 Pu4 Se32'
_space_group_name_H-M_alt 'F m -3 m'
_space_group_IT_number 225
_space_group_name_Hall '-F 4 2 3'
_cell_length_a 11.539
_cell_length_b 11.539
_cell_length_c 11.539
_cell_angle_alpha 90.00
_cell_angle_beta 90.00
_cell_angle_gamma 90.00
loop_
_atom_site_label
_atom_site_fract_x
_atom_site_fract_y
_atom_site_fract_z
Y1 0.000 0.250 0.250
Pu1 0.000 0.000 0.000
Se1 0.000 0.000 0.256
Se2 0.250 0.250 0.250
```

Compound: YPu2Se3
Source: Alexandria
Functional: PBE-GGA
Structure: relaxed

As for the formation energy (no corrections): -37.5 kcal/mol of atoms. The energy comes out at -0.67792 Ry per atom.

Cell and atoms, written as CIF:
```
data_YPu2Se3
_chemical_formula_sum 'Y2 Pu4 Se6'
_space_group_name_H-M_alt 'I m m m'
_space_group_IT_number 71
_space_group_name_Hall '-I 2 2'
_cell_length_a 4.130
_cell_length_b 5.837
_cell_length_c 12.359
_cell_angle_alpha 90.00
_cell_angle_beta 90.00
_cell_angle_gamma 90.00
loop_
_atom_site_label
_atom_site_fract_x
_atom_site_fract_y
_atom_site_fract_z
Y1 0.000 0.000 0.000
Pu1 0.000 0.000 0.333
Se1 0.000 0.500 0.000
Se2 0.000 0.500 0.335
```

Compound: Y2PuSe
Source: Alexandria
Functional: PBE-GGA
Structure: relaxed

As for the formation energy (no corrections): -10.6 kcal/mol of atoms. The energy comes out at -0.59879 Ry per atom.

Cell and atoms, written as CIF:
```
data_Y2PuSe
_chemical_formula_sum 'Y6 Pu3 Se3'
_space_group_name_H-M_alt 'R -3 m'
_space_group_IT_number 166
_space_group_name_Hall '-R 3 2"'
_cell_length_a 3.6991
_cell_length_b 3.6991
_cell_length_c 30.7534
_cell_angle_alpha 90.00
_cell_angle_beta 90.00
_cell_angle_gamma 120.00
loop_
_atom_site_label
_atom_site_fract_x
_atom_site_fract_y
_atom_site_fract_z
Y1 0.0000 0.0000 0.1071
Pu1 0.0000 0.0000 0.0000
Se1 0.0000 0.0000 0.5000
```

Compound: Y2PuSe4
Source: Alexandria
Functional: PBE-GGA
Structure: relaxed

As for the formation energy (no corrections): -40.8 kcal/mol of atoms. The calculation puts the polymorph energy (0 for the lowest one) at 0 meV/atom. The energy comes out at -0.56255 Ry per atom.

Cell and atoms, written as CIF:
```
data_Y2PuSe4
_chemical_formula_sum 'Y8 Pu4 Se16'
_space_group_name_H-M_alt 'I m m a'
_space_group_IT_number 74
_space_group_name_Hall '-I 2b 2'
_cell_length_a 8.228
_cell_length_b 8.312
_cell_length_c 11.517
_cell_angle_alpha 90.00
_cell_angle_beta 90.00
_cell_angle_gamma 90.00
loop_
_atom_site_label
_atom_site_fract_x
_atom_site_fract_y
_atom_site_fract_z
Y1 0.000 0.000 0.000
Y2 0.250 0.250 0.250
Pu1 0.000 0.000 0.500
Se1 0.000 0.008 0.247
Se2 0.247 0.250 0.997
```

Compound: Y5PuSe6
Source: Alexandria
Functional: PBE-GGA
Structure: relaxed

As for the formation energy (no corrections): -40.2 kcal/mol of atoms. The energy comes out at -0.54206 Ry per atom.

Cell and atoms, written as CIF:
```
data_Y5PuSe6
_chemical_formula_sum 'Y10 Pu2 Se12'
_space_group_name_H-M_alt 'C 1 2/m 1'
_space_group_IT_number 12
_cell_length_a 7.079
_cell_length_b 12.277
_cell_length_c 7.115
_cell_angle_alpha 90.00
_cell_angle_beta 109.41
_cell_angle_gamma 90.00
loop_
_space_group_symop_operation_xyz
'x,y,z'
'-x,-y,-z'
'-x,y,-z'
'x,-y,z'
'x+1/2,y+1/2,z'
'-x+1/2,-y+1/2,-z'
'-x+1/2,y+1/2,-z'
'x+1/2,-y+1/2,z'
loop_
_atom_site_label
_atom_site_fract_x
_atom_site_fract_y
_atom_site_fract_z
Y1 0.000 0.000 0.000
Y2 0.000 0.168 0.500
Y3 0.000 0.333 0.000
Pu1 0.000 0.500 0.500
Se1 0.248 0.000 0.751
Se2 0.248 0.168 0.248
```

Compound: YPu4Se6
Source: Alexandria
Functional: PBE-GGA
Structure: relaxed

As for the formation energy (no corrections): -35.1 kcal/mol of atoms. The energy comes out at -0.67769 Ry per atom.

Cell and atoms, written as CIF:
```
data_YPu4Se6
_chemical_formula_sum 'Y4 Pu16 Se24'
_space_group_name_H-M_alt 'C m c m'
_space_group_IT_number 63
_space_group_name_Hall '-C 2c 2'
_cell_length_a 4.049
_cell_length_b 13.676
_cell_length_c 21.068
_cell_angle_alpha 90.00
_cell_angle_beta 90.00
_cell_angle_gamma 90.00
loop_
_atom_site_label
_atom_site_fract_x
_atom_site_fract_y
_atom_site_fract_z
Y1 0.000 0.152 0.250
Pu1 0.000 0.090 0.631
Pu2 0.000 0.361 0.540
Se1 0.000 0.000 0.000
Se2 0.000 0.197 0.750
Se3 0.000 0.272 0.088
Se4 0.000 0.448 0.669
```

Compound: Y2PuSe4
Source: Alexandria
Functional: PBE-GGA
Structure: relaxed

As for the formation energy (no corrections): -40.4 kcal/mol of atoms. The calculation puts the polymorph energy (0 for the lowest one) at 16 meV/atom. The energy comes out at -0.56141 Ry per atom.

Cell and atoms, written as CIF:
```
data_Y2PuSe4
_chemical_formula_sum 'Y8 Pu4 Se16'
_space_group_name_H-M_alt 'C m c m'
_space_group_IT_number 63
_space_group_name_Hall '-C 2c 2'
_cell_length_a 4.049
_cell_length_b 13.448
_cell_length_c 13.809
_cell_angle_alpha 90.00
_cell_angle_beta 90.00
_cell_angle_gamma 90.00
loop_
_atom_site_label
_atom_site_fract_x
_atom_site_fract_y
_atom_site_fract_z
Y1 0.000 0.133 0.068
Pu1 0.000 0.381 0.250
Se1 0.000 0.040 0.250
Se2 0.000 0.226 0.622
Se3 0.000 0.500 0.000
```